1.
CeIn2Hg8: optimized geometry, PBE-GGA.

Cell: 9.545 9.545 5.173 Å, 92.60 92.60 38.55°
Atoms (fractional coordinates):
Ce: 0.000 0.000 0.000
In: 0.267 0.267 0.572
In: 0.733 0.733 0.428
Hg: 0.154 0.673 0.483
Hg: 0.185 0.185 0.049
Hg: 0.327 0.846 0.517
Hg: 0.409 0.409 0.990
Hg: 0.591 0.591 0.010
Hg: 0.673 0.154 0.483
Hg: 0.815 0.815 0.951
Hg: 0.846 0.327 0.517

Output
E, eV per atom: -1.331

---

2.
UFeCo: optimized geometry, PBE-GGA.

Cell: 4.915 4.915 4.915 Å, 120.71 120.60 88.87°
Atoms (fractional coordinates):
U: 0.380 0.130 0.250
U: 0.620 0.870 0.750
Fe: 0.000 0.500 0.500
Fe: 0.500 0.500 0.000
Co: 0.000 0.000 0.500
Co: 0.000 0.500 0.000

Output
E, eV per atom: -9.132
E above lowest polymorph, meV/atom: 1.8

---

3.
Sn2HgPb2: optimized geometry, PBE-GGA.

Cell: 9.326 9.326 3.567 Å, 90.00 90.00 90.00°
Atoms (fractional coordinates):
Sn: 0.146 0.354 0.000
Sn: 0.354 0.854 0.000
Sn: 0.646 0.146 0.000
Sn: 0.854 0.646 0.000
Hg: 0.000 0.000 0.000
Hg: 0.500 0.500 0.000
Pb: 0.148 0.648 0.500
Pb: 0.352 0.148 0.500
Pb: 0.648 0.852 0.500
Pb: 0.852 0.352 0.500

Output
E, eV per atom: -3.057
E above lowest polymorph, meV/atom: 34.8

---

4.
BaLuH: optimized geometry, PBE-GGA.

Cell: 13.253 3.664 3.664 Å, 60.04 90.00 90.00°
Atoms (fractional coordinates):
Ba: 0.141 0.000 0.000
Ba: 0.859 0.000 0.000
Lu: 0.384 0.665 0.665
Lu: 0.616 0.665 0.665
H: 0.000 0.667 0.667
H: 0.500 0.997 0.997

Output
E, eV per atom: -3.159